SiAg2Hg: optimized geometry, GGA-PBE.

It has space group Pmmm (No. 47), with a = 2.982 Å, b = 4.025 Å, c = 6.242 Å, α = 90.00°, β = 90.00° and γ = 90.00°. The inequivalent atoms are Si at (0.000, 0.000, 0.000), Ag at (0.500, 0.500, 0.229) and Hg at (0.000, 0.000, 0.500).

The value obtained for the density is 9851 kg/m3. The value obtained for the spin magnetization is 0.000 μB per atom. Its density of states at the Fermi level is 1.4 states/eV/cell. Its calculated total energy is -0.190 Ry per atom. The raw formation energy comes out at 0.267 eV per atom.